A plane-wave DFT calculation with PBE was carried out for a relaxed AlIn2Os crystal. Values from VASP.

Structure (Quantum ESPRESSO input):
```
&SYSTEM
  ibrav = 0, nat = 16, ntyp = 3
/
ATOMIC_SPECIES
Al 26.98 Al.upf
In 114.82 In.upf
Os 190.23 Os.upf
CELL_PARAMETERS angstrom
6.6472 0.0000 0.0000
0.0000 6.6472 0.0000
0.0000 0.0000 6.6472
ATOMIC_POSITIONS crystal
Al 0.0000 0.0000 0.0000
Al 0.0000 0.5000 0.5000
Al 0.5000 0.0000 0.5000
Al 0.5000 0.5000 0.0000
In 0.0000 0.0000 0.5000
In 0.0000 0.5000 0.0000
In 0.2500 0.2500 0.7500
In 0.2500 0.7500 0.2500
In 0.5000 0.0000 0.0000
In 0.5000 0.5000 0.5000
In 0.7500 0.2500 0.2500
In 0.7500 0.7500 0.7500
Os 0.2500 0.2500 0.2500
Os 0.2500 0.7500 0.7500
Os 0.7500 0.2500 0.7500
Os 0.7500 0.7500 0.2500
```

Values from the calculation:
Space-group type = F-43m
DOS at the Fermi energy = 17.83 states/eV/cell
V = 18.4 A^3/atom
VASP energy = -4.586 eV/atom
ΔE_f = 526.4 meV/atom